1.
{
  "formula": "AlCr2Ir2",
  "functional": "PBE",
  "state": "optimized geometry",
  "ef_mev_per_atom": -83,
  "volume_a3_per_cell": 144.2,
  "e_tot_ev_per_atom": -8.2249,
  "lattice": [[7.2469, 0.0000, 0.0000], [0.0000, 7.2469, 0.0000], [0.0000, 0.0000, 2.7464]],
  "species": ["Al", "Al", "Cr", "Cr", "Cr", "Cr", "Ir", "Ir", "Ir", "Ir"],
  "frac_coords": [[0.0000, 0.0000, 0.0000], [0.5000, 0.5000, 0.0000], [0.1656, 0.3344, 0.5000], [0.3344, 0.8344, 0.5000], [0.6656, 0.1656, 0.5000], [0.8344, 0.6656, 0.5000], [0.1309, 0.6309, 0.0000], [0.3691, 0.1309, 0.0000], [0.6309, 0.8691, 0.0000], [0.8691, 0.3691, 0.0000]]
}

2.
{
  "formula": "HoPaPdAu",
  "functional": "PBE",
  "state": "optimized geometry",
  "ef_mev_per_atom": -496,
  "volume_a3_per_cell": 90.3,
  "e_tot_ev_per_atom": -6.1319,
  "lattice": [[0.0000, 3.5602, 3.5602], [3.5602, 0.0000, 3.5602], [3.5602, 3.5602, 0.0000]],
  "species": ["Ho", "Pa", "Pd", "Au"],
  "frac_coords": [[0.0000, 0.0000, 0.0000], [0.5000, 0.5000, 0.5000], [0.2500, 0.2500, 0.2500], [0.7500, 0.7500, 0.7500]]
}